No. 1
Compound: Tb2ErTh
Source: the Alexandria database
Functional: PBE-GGA
Structure: optimized geometry

Properties
Density = 9.4 g/cm3
E_tot = -5.282 eV/atom
Formation energy = 29 meV per atom
E above lowest polymorph = 1 kJ/mol of formula units

Unit cell a=7.071 b=6.189 c=7.086 alpha=106.83 beta=119.93 gamma=90.00
Element x y z (fractional)
Tb: 0.878 0.252 0.506
Er: 0.373 0.250 0.000
Tb: 0.372 0.248 0.494
Th: 0.120 0.750 0.000
Er: 0.627 0.750 0.000
Tb: 0.628 0.752 0.506
Tb: 0.122 0.748 0.494
Th: 0.880 0.250 0.000

=====

No. 2
Compound: YInRe2Sb
Source: the Alexandria database
Functional: PBE-GGA
Structure: optimized geometry

Properties
Density = 8.8 g/cm3
E_tot = -5.864 eV/atom
Uncorrected formation energy = 1780 meV per atom

Unit cell a=4.979 b=5.332 c=4.979 alpha=90.00 beta=90.00 gamma=90.00
Last column: magnetic moment on the atom in μB.
Element x y z (fractional)
Re: 0.000 0.000 0.500  1.29
Y: 0.500 0.500 0.500  -0.06
Sb: 0.000 0.500 0.000  -0.03
Re: 0.500 0.000 0.000  1.08
In: 0.000 0.000 0.000  -0.02

=====

No. 3
Compound: SmMgZn2Ga2
Source: the Alexandria database
Functional: PBE-GGA
Structure: optimized geometry

Properties
Density = 6.4 g/cm3
E_tot = -2.902 eV/atom
Formation energy = -416 meV per atom

Unit cell a=4.391 b=4.391 c=6.938 alpha=90.00 beta=90.00 gamma=120.00
Element x y z (fractional)
Ga: 0.333 0.667 0.259
Sm: 0.000 0.000 0.000
Zn: 0.333 0.667 0.719
Ga: 0.667 0.333 0.741
Mg: 0.000 0.000 0.500
Zn: 0.667 0.333 0.281